# BaZnGa2Os, optimized geometry, DFT PBE-GGA
# M_tot in μB/cell: 0.00
# Energy of formation in eV/atom: -0.34
data_BaZnGa2Os
_symmetry_space_group_name_H-M 'P 1'
_symmetry_Int_Tables_number 1
_cell_length_a 4.861
_cell_length_b 4.861
_cell_length_c 5.011
_cell_angle_alpha 90.00
_cell_angle_beta 90.00
_cell_angle_gamma 90.00
loop_
_symmetry_equiv_pos_as_xyz
'x,y,z'
loop_
_atom_site_label
_atom_site_type_symbol
_atom_site_fract_x
_atom_site_fract_y
_atom_site_fract_z
_atom_site_occupancy
Zn1 Zn 0.000 0.000 0.500 1
Os1 Os 0.000 0.000 0.000 1
Ba1 Ba 0.500 0.500 0.500 1
Ga1 Ga 0.000 0.500 0.000 1
Ga2 Ga 0.500 0.000 0.000 1



# BaGa2P, optimized geometry, DFT PBE-GGA
# M_tot in μB/cell: 0.00
# Energy of formation in eV/atom: -0.34
data_BaGa2P
_symmetry_space_group_name_H-M 'P 1'
_symmetry_Int_Tables_number 1
_cell_length_a 8.104
_cell_length_b 8.104
_cell_length_c 6.575
_cell_angle_alpha 51.95
_cell_angle_beta 51.95
_cell_angle_gamma 90.00
loop_
_symmetry_equiv_pos_as_xyz
'x,y,z'
loop_
_atom_site_label
_atom_site_type_symbol
_atom_site_fract_x
_atom_site_fract_y
_atom_site_fract_z
_atom_site_occupancy
P1 P 0.500 0.500 0.000 1
P2 P 0.250 0.750 0.500 1
Ba1 Ba 0.000 0.000 0.000 1
Ba2 Ba 0.750 0.250 0.500 1
Ga1 Ga 0.551 0.125 0.250 1
Ga2 Ga 0.199 0.625 0.250 1
Ga3 Ga 0.375 0.449 0.750 1
Ga4 Ga 0.875 0.801 0.750 1



# Ba2Ga2P, optimized geometry, DFT PBE-GGA
# M_tot in μB/cell: 0.00
# Energy of formation in eV/atom: -0.53
data_Ba2Ga2P
_symmetry_space_group_name_H-M 'P 1'
_symmetry_Int_Tables_number 1
_cell_length_a 4.703
_cell_length_b 4.081
_cell_length_c 8.228
_cell_angle_alpha 104.36
_cell_angle_beta 90.00
_cell_angle_gamma 90.00
loop_
_symmetry_equiv_pos_as_xyz
'x,y,z'
loop_
_atom_site_label
_atom_site_type_symbol
_atom_site_fract_x
_atom_site_fract_y
_atom_site_fract_z
_atom_site_occupancy
Ba1 Ba 0.000 0.681 0.361 1
Ba2 Ba 0.000 0.931 0.861 1
Ga1 Ga 0.500 0.330 0.660 1
Ga2 Ga 0.500 0.506 0.012 1
P1 P 0.500 0.095 0.189 1



# BaGaP, optimized geometry, DFT PBE-GGA
# M_tot in μB/cell: 0.00
# Energy of formation in eV/atom: -0.56
# Energy above the most stable polymorph in this dataset in meV per atom: 197
data_BaGaP
_symmetry_space_group_name_H-M 'P 1'
_symmetry_Int_Tables_number 1
_cell_length_a 3.863
_cell_length_b 4.631
_cell_length_c 6.463
_cell_angle_alpha 69.04
_cell_angle_beta 72.61
_cell_angle_gamma 89.99
loop_
_symmetry_equiv_pos_as_xyz
'x,y,z'
loop_
_atom_site_label
_atom_site_type_symbol
_atom_site_fract_x
_atom_site_fract_y
_atom_site_fract_z
_atom_site_occupancy
Ba1 Ba 0.587 0.491 0.156 1
Ga1 Ga 0.838 0.241 0.655 1
P1 P 0.206 0.109 0.919 1



# BaGaP3, optimized geometry, DFT PBE-GGA
# M_tot in μB/cell: 0.00
# Energy of formation in eV/atom: 0.03
# Energy above the most stable polymorph in this dataset in meV per atom: 0
data_BaGaP3
_symmetry_space_group_name_H-M 'P 1'
_symmetry_Int_Tables_number 1
_cell_length_a 4.901
_cell_length_b 4.901
_cell_length_c 4.901
_cell_angle_alpha 90.00
_cell_angle_beta 90.00
_cell_angle_gamma 90.00
loop_
_symmetry_equiv_pos_as_xyz
'x,y,z'
loop_
_atom_site_label
_atom_site_type_symbol
_atom_site_fract_x
_atom_site_fract_y
_atom_site_fract_z
_atom_site_occupancy
P1 P 0.000 0.500 0.000 1
P2 P 0.000 0.000 0.500 1
P3 P 0.500 0.000 0.000 1
Ba1 Ba 0.500 0.500 0.500 1
Ga1 Ga 0.000 0.000 0.000 1



# BaGa3P, optimized geometry, DFT PBE-GGA
# M_tot in μB/cell: 0.00
# Energy of formation in eV/atom: 0.00
# Energy above the most stable polymorph in this dataset in meV per atom: 0
data_BaGa3P
_symmetry_space_group_name_H-M 'P 1'
_symmetry_Int_Tables_number 1
_cell_length_a 5.021
_cell_length_b 5.021
_cell_length_c 5.021
_cell_angle_alpha 90.00
_cell_angle_beta 90.00
_cell_angle_gamma 90.00
loop_
_symmetry_equiv_pos_as_xyz
'x,y,z'
loop_
_atom_site_label
_atom_site_type_symbol
_atom_site_fract_x
_atom_site_fract_y
_atom_site_fract_z
_atom_site_occupancy
P1 P 0.000 0.000 0.000 1
Ba1 Ba 0.500 0.500 0.500 1
Ga1 Ga 0.000 0.500 0.000 1
Ga2 Ga 0.000 0.000 0.500 1
Ga3 Ga 0.500 0.000 0.000 1



no.,volume (Å³ per atom),uncorrected energy (eV per atom)
1,23.7,-4.438
2,26.5,-3.682
3,30.6,-3.594
4,34.1,-4.013
5,23.6,-4.202
6,25.3,-3.280